# 1
# HfGaCoRe (PBE, optimized geometry)
# - crystal system = cubic
# - V (Å³/atom) = 15.05
data_HfGaCoRe
_space_group_name_H-M_alt 'F -4 3 m'
_space_group_IT_number 216
_space_group_name_Hall 'F -4 2 3'
_cell_length_a 6.221
_cell_length_b 6.221
_cell_length_c 6.221
_cell_angle_alpha 90.00
_cell_angle_beta 90.00
_cell_angle_gamma 90.00
loop_
_atom_site_label
_atom_site_fract_x
_atom_site_fract_y
_atom_site_fract_z
Hf1 0.000 0.000 0.000
Ga1 0.000 0.000 0.500
Co1 0.250 0.250 0.750
Re1 0.250 0.250 0.250

=====

# 2
# HfScGaCo (PBE, optimized geometry)
# - crystal system = cubic
# - V (Å³/atom) = 16.27
data_HfScGaCo
_space_group_name_H-M_alt 'F -4 3 m'
_space_group_IT_number 216
_space_group_name_Hall 'F -4 2 3'
_cell_length_a 6.386
_cell_length_b 6.386
_cell_length_c 6.386
_cell_angle_alpha 90.00
_cell_angle_beta 90.00
_cell_angle_gamma 90.00
loop_
_atom_site_label
_atom_site_fract_x
_atom_site_fract_y
_atom_site_fract_z
Hf1 0.000 0.000 0.000
Sc1 0.250 0.250 0.250
Ga1 0.000 0.000 0.500
Co1 0.250 0.250 0.750

=====

Values of energy above the lowest structure with this stoichiometry, in order: 0 0, all in meV/atom.